1.
## Nb6Au2N (PBE-GGA)

Data for crystalline Nb6Au2N at its relaxed geometry.

The density of states at the Fermi level is 0.744 states/eV per atom. The formation energy without anion corrections is -105 meV/atom. As for the energy: -8.472 eV/atom.

Geometry as POSCAR:
```
Nb6Au2N
1.0
3.279 0.000 0.000
0.000 7.278 0.000
0.000 -3.639 6.308
Nb Au N
6 2 1
Cartesian
1.639 4.642 0.000
1.639 1.310 2.268
1.639 -2.329 4.040
0.000 1.709 0.000
0.000 2.785 4.838
0.000 6.424 1.470
0.000 0.000 4.198
0.000 3.639 2.110
1.639 0.014 0.000
```

2.
## AcNdC (PBE-GGA)

Data for crystalline AcNdC at its relaxed geometry.

For the formation energy, the calculation gives 0.004 eV per atom. The density of states at the Fermi level is 0.696 states/eV per atom. As for the energy: -6.029 eV/atom. The calculation puts the energy above the most stable polymorph in this dataset at 0.00 kJ per mole of atoms.

Geometry as POSCAR:
```
AcNdC
1.0
6.891 0.000 0.000
0.000 3.799 0.000
0.000 -1.899 3.290
Ac Nd C
1 1 1
Cartesian
0.782 0.000 0.000
3.712 1.899 1.097
2.398 0.000 2.193
```

3.
## La2NpGe3Ir4 (PBE-GGA)

Data for crystalline La2NpGe3Ir4 at its relaxed geometry.

For the formation energy, the calculation gives -0.714 eV per atom. The density of states at the Fermi level is 0.743 states/eV per atom. As for the energy: -7.923 eV/atom.

Geometry as POSCAR:
```
La2NpGe3Ir4
1.0
-0.689 0.638 4.175
2.876 -3.027 0.937
7.971 7.621 0.152
La Np Ge Ir
2 1 3 4
Cartesian
1.517 2.098 2.123
7.548 4.328 0.585
5.079 2.616 2.632
3.986 3.810 0.076
6.654 7.010 2.221
2.411 -0.583 0.487
1.093 -1.195 2.556
0.000 0.000 0.000
4.838 5.273 2.186
4.227 1.153 0.522
```

Number 1: total magnetization 0.00 μB per formula unit. Number 2: total magnetization 0.00 μB per formula unit. Number 3: total magnetization 3.56 μB per formula unit.